Entry 1:
HoThRu2 | PBE | relaxed

a = 4.9112 Å, b = 4.9119 Å, c = 4.9113 Å
α = 60.00°, β = 60.00°, γ = 60.00°
Fractional coordinates of all 4 atoms:
Ho  0.7500  0.7500  0.7500
Ru  0.0000  0.9999  0.0001
Ru  0.5000  0.5001  0.4999
Th  0.2500  0.2500  0.2500

## Properties
Total energy = -8.08 eV/atom
Space group = Fm-3m (225)
Theoretical density = 11.87 g/cm³

=====

Entry 2:
Ho3ThRu4 | PBE | relaxed

a = 4.8497 Å, b = 4.8497 Å, c = 8.3607 Å
α = 73.14°, β = 73.14°, γ = 60.00°
Fractional coordinates of all 8 atoms:
Ru  0.3731  0.3731  0.8807
Ru  0.6269  0.6269  0.1193
Ru  0.8776  0.8776  0.3673
Ru  0.1224  0.1224  0.6327
Ho  0.5000  0.5000  0.5000
Ho  0.7541  0.7541  0.7376
Ho  0.2459  0.2459  0.2624
Th  0.0000  0.0000  0.0000

## Properties
Total energy = -7.72 eV/atom
Space group = R-3m (166)
Theoretical density = 11.71 g/cm³

=====

Entry 3:
HoTh2Ru | PBE | relaxed

a = 3.8138 Å, b = 3.8138 Å, c = 10.4602 Å
α = 79.50°, β = 79.50°, γ = 60.00°
Fractional coordinates of all 4 atoms:
Ru  0.5000  0.5000  0.5000
Th  0.1112  0.1112  0.6663
Th  0.8888  0.8888  0.3337
Ho  0.0000  0.0000  0.0000

## Properties
Total energy = -7.08 eV/atom
Space group = R-3m (166)
Theoretical density = 9.41 g/cm³

=====

Entry 4:
HoThTlRu | PBE | relaxed

a = 3.4213 Å, b = 3.4213 Å, c = 8.4591 Å
α = 90.00°, β = 90.00°, γ = 90.00°
Fractional coordinates of all 4 atoms:
Th  0.5000  0.5000  0.7755
Ho  0.5000  0.5000  0.3635
Tl  0.0000  0.0000  0.0813
Ru  0.0000  0.0000  0.5645

## Properties
Total energy = -6.29 eV/atom
Space group = P4mm (99)
Theoretical density = 11.78 g/cm³

=====

Entry 5:
HoThZnRu | PBE | relaxed

a = 5.0114 Å, b = 5.0114 Å, c = 5.0114 Å
α = 60.00°, β = 60.00°, γ = 60.00°
Fractional coordinates of all 4 atoms:
Th  0.0000  0.0000  0.0000
Ru  0.7500  0.7500  0.7500
Zn  0.2500  0.2500  0.2500
Ho  0.5000  0.5000  0.5000

## Properties
Total energy = -5.97 eV/atom
Space group = F-43m (216)
Theoretical density = 10.51 g/cm³

=====

Entry 6:
HoTiRu4 | PBE | relaxed

a = 5.2063 Å, b = 5.2063 Å, c = 5.2063 Å
α = 60.00°, β = 60.00°, γ = 60.00°
Fractional coordinates of all 6 atoms:
Ru  0.6255  0.1235  0.6255
Ru  0.6255  0.6255  0.1235
Ru  0.1235  0.6255  0.6255
Ru  0.6255  0.6255  0.6255
Ti  0.0000  0.0000  0.0000
Ho  0.2500  0.2500  0.2500

## Properties
Total energy = -8.46 eV/atom
Space group = F-43m (216)
Theoretical density = 10.27 g/cm³

=====

Question: Number 3 is which compound?
Answer: HoTh2Ru